# ZrSb3 | Alexandria via LeMat-Bulk | meta-GGA SCAN | PBEsol geometry
data_ZrSb3
_chemical_formula_sum 'Zr1 Sb3'
_cell_length_a 5.4939
_cell_length_b 5.4939
_cell_length_c 5.4939
_cell_angle_alpha 90.00
_cell_angle_beta 90.00
_cell_angle_gamma 90.00
_symmetry_space_group_name_H-M 'P m -3 m'
_symmetry_Int_Tables_number 221
_symmetry_space_group_name_Hall '-P 4 2 3'
loop_
_atom_site_label
_atom_site_type_symbol
_atom_site_fract_x
_atom_site_fract_y
_atom_site_fract_z
Zr1 Zr 0.0000 0.0000 0.0000
Sb1 Sb 0.0000 0.0000 0.5000
# Magnetic moment in μB per cell: 0.00
# Excess energy over the best structure of this formula in the dataset in kJ/mol of atoms: 48.9
# DOS at the Fermi energy in states/eV per atom: 0.669

***

# Zr3Sb | Alexandria via LeMat-Bulk | meta-GGA SCAN | PBEsol geometry
data_Zr3Sb
_chemical_formula_sum 'Zr6 Sb2'
_cell_length_a 3.7431
_cell_length_b 9.4501
_cell_length_c 4.9076
_cell_angle_alpha 90.00
_cell_angle_beta 90.00
_cell_angle_gamma 90.00
_symmetry_space_group_name_H-M 'I m m 2'
_symmetry_Int_Tables_number 44
loop_
_symmetry_equiv_pos_as_xyz
'x,y,z'
'-x,-y,z'
'-x,y,z'
'x,-y,z'
'x+1/2,y+1/2,z+1/2'
'-x+1/2,-y+1/2,z+1/2'
'-x+1/2,y+1/2,z+1/2'
'x+1/2,-y+1/2,z+1/2'
loop_
_atom_site_label
_atom_site_type_symbol
_atom_site_fract_x
_atom_site_fract_y
_atom_site_fract_z
Zr1 Zr 0.0000 0.0000 0.0000
Zr2 Zr 0.0000 0.2407 0.5939
Sb1 Sb 0.0000 0.5000 0.9846
# Magnetic moment in μB per cell: 0.00
# DOS at the Fermi energy in states/eV per atom: 1.090

***

# ZrSb4 | Alexandria via LeMat-Bulk | meta-GGA SCAN | PBEsol geometry
data_ZrSb4
_chemical_formula_sum 'Zr2 Sb8'
_cell_length_a 6.6498
_cell_length_b 6.6498
_cell_length_c 6.6498
_cell_angle_alpha 90.00
_cell_angle_beta 90.00
_cell_angle_gamma 90.00
_symmetry_space_group_name_H-M 'I m -3 m'
_symmetry_Int_Tables_number 229
_symmetry_space_group_name_Hall '-I 4 2 3'
loop_
_atom_site_label
_atom_site_type_symbol
_atom_site_fract_x
_atom_site_fract_y
_atom_site_fract_z
Zr1 Zr 0.0000 0.0000 0.0000
Sb1 Sb 0.2500 0.2500 0.2500
# Magnetic moment in μB per cell: 0.00
# DOS at the Fermi energy in states/eV per atom: 0.660

***

# Zr3Sb | Alexandria via LeMat-Bulk | meta-GGA SCAN | PBEsol geometry
data_Zr3Sb
_chemical_formula_sum 'Zr12 Sb4'
_cell_length_a 6.5934
_cell_length_b 10.1644
_cell_length_c 5.0892
_cell_angle_alpha 90.00
_cell_angle_beta 90.00
_cell_angle_gamma 90.00
_symmetry_space_group_name_H-M 'C m c m'
_symmetry_Int_Tables_number 63
_symmetry_space_group_name_Hall '-C 2c 2'
loop_
_atom_site_label
_atom_site_type_symbol
_atom_site_fract_x
_atom_site_fract_y
_atom_site_fract_z
Zr1 Zr 0.0000 0.1309 0.2500
Zr2 Zr 0.2307 0.3993 0.2500
Sb1 Sb 0.0000 0.3344 0.7500
# Magnetic moment in μB per cell: 0.00
# DOS at the Fermi energy in states/eV per atom: 0.683

***

# Zr8Sb | Alexandria via LeMat-Bulk | meta-GGA SCAN | PBEsol geometry
data_Zr8Sb
_chemical_formula_sum 'Zr16 Sb2'
_cell_length_a 9.6337
_cell_length_b 9.6337
_cell_length_c 4.2406
_cell_angle_alpha 90.00
_cell_angle_beta 90.00
_cell_angle_gamma 90.00
_symmetry_space_group_name_H-M 'I 4/m m m'
_symmetry_Int_Tables_number 139
_symmetry_space_group_name_Hall '-I 4 2'
loop_
_atom_site_label
_atom_site_type_symbol
_atom_site_fract_x
_atom_site_fract_y
_atom_site_fract_z
Zr1 Zr 0.0000 0.3314 0.0000
Zr2 Zr 0.1651 0.1651 0.5000
Sb1 Sb 0.0000 0.0000 0.0000
# Magnetic moment in μB per cell: 0.00
# DOS at the Fermi energy in states/eV per atom: 0.903

***

# Zr5Sb3 | Alexandria via LeMat-Bulk | meta-GGA SCAN | PBEsol geometry
data_Zr5Sb3
_chemical_formula_sum 'Zr10 Sb6'
_cell_length_a 8.4063
_cell_length_b 8.4063
_cell_length_c 5.7120
_cell_angle_alpha 90.00
_cell_angle_beta 90.00
_cell_angle_gamma 120.00
_symmetry_space_group_name_H-M 'P 63/m c m'
_symmetry_Int_Tables_number 193
_symmetry_space_group_name_Hall '-P 6c 2'
loop_
_atom_site_label
_atom_site_type_symbol
_atom_site_fract_x
_atom_site_fract_y
_atom_site_fract_z
Zr1 Zr 0.0000 0.2528 0.2500
Zr2 Zr 0.3333 0.6667 0.0000
Sb1 Sb 0.0000 0.3878 0.7500
# Magnetic moment in μB per cell: 1.99
# Excess energy over the best structure of this formula in the dataset in kJ/mol of atoms: 0.0
# DOS at the Fermi energy in states/eV per atom: 0.873

***

# Zr3Sb | Alexandria via LeMat-Bulk | meta-GGA SCAN | PBEsol geometry
data_Zr3Sb
_chemical_formula_sum 'Zr3 Sb1'
_cell_length_a 4.2712
_cell_length_b 4.2712
_cell_length_c 4.6579
_cell_angle_alpha 90.00
_cell_angle_beta 90.00
_cell_angle_gamma 90.00
_symmetry_space_group_name_H-M 'P 4/m m m'
_symmetry_Int_Tables_number 123
_symmetry_space_group_name_Hall '-P 4 2'
loop_
_atom_site_label
_atom_site_type_symbol
_atom_site_fract_x
_atom_site_fract_y
_atom_site_fract_z
Zr1 Zr 0.0000 0.0000 0.0000
Zr2 Zr 0.0000 0.5000 0.5000
Sb1 Sb 0.5000 0.5000 0.0000
# Magnetic moment in μB per cell: 0.00
# DOS at the Fermi energy in states/eV per atom: 0.983

***

# Zr3Sb5 | Alexandria via LeMat-Bulk | meta-GGA SCAN | PBEsol geometry
data_Zr3Sb5
_chemical_formula_sum 'Zr6 Sb10'
_cell_length_a 7.6551
_cell_length_b 9.2399
_cell_length_c 5.1867
_cell_angle_alpha 90.00
_cell_angle_beta 90.00
_cell_angle_gamma 90.00
_symmetry_space_group_name_H-M 'C m m m'
_symmetry_Int_Tables_number 65
_symmetry_space_group_name_Hall '-C 2 2'
loop_
_atom_site_label
_atom_site_type_symbol
_atom_site_fract_x
_atom_site_fract_y
_atom_site_fract_z
Zr1 Zr 0.0000 0.0000 0.0000
Zr2 Zr 0.0000 0.2743 0.5000
Sb1 Sb 0.0000 0.5000 0.0000
Sb2 Sb 0.2056 0.0000 0.5000
Sb3 Sb 0.2500 0.2500 0.0000
# Magnetic moment in μB per cell: 0.00
# DOS at the Fermi energy in states/eV per atom: 0.748

***

For the records above, the corresponding E_form (uncorrected) values read 0.293; -0.397; -0.086; -0.493; -0.193; -0.779; -0.484; -0.352 eV per atom.
For the records above, the corresponding raw total energy values read -35.3271; -32.7360; -36.0348; -32.8318; -31.6205; -33.9382; -32.8237; -35.1525 eV/atom.